Record 1
This record from Alexandria describes crystalline LiTiSe2O at its relaxed geometry. The functional is PBE-GGA.

a = 3.4912 Å, b = 3.4912 Å, c = 25.9393 Å
α = 90.00°, β = 90.00°, γ = 120.00°
With the nearest neighbours (Å) after each atom.
Space group P3m1 (No. 156)
Inequivalent atoms, fractional coordinates:
Li: 0.0000 0.0000 0.0000 (multiplicity 1)  3 O 2.02
Li: 0.3333 0.6667 0.3323 (multiplicity 1)  3 O 2.02
Li: 0.6667 0.3333 0.6665 (multiplicity 1)  3 O 2.02
Ti: 0.0000 0.0000 0.1664 (multiplicity 1)  6 Se 2.55-2.56
Ti: 0.3333 0.6667 0.4995 (multiplicity 1)  6 Se 2.55-2.56
Ti: 0.6667 0.3333 0.8339 (multiplicity 1)  6 Se 2.55-2.56
Se: 0.0000 0.0000 0.5599 (multiplicity 1)  3 Ti 2.55
Se: 0.0000 0.0000 0.7732 (multiplicity 1)  3 Ti 2.56
Se: 0.3333 0.6667 0.1057 (multiplicity 1)  3 Ti 2.56
Se: 0.3333 0.6667 0.8943 (multiplicity 1)  3 Ti 2.55
Se: 0.6667 0.3333 0.2267 (multiplicity 1)  3 Ti 2.55
Se: 0.6667 0.3333 0.4388 (multiplicity 1)  3 Ti 2.56
O: 0.0000 0.0000 0.3316 (multiplicity 1)  3 Li 2.02
O: 0.3333 0.6667 0.6658 (multiplicity 1)  3 Li 2.02
O: 0.6667 0.3333 0.9993 (multiplicity 1)  3 Li 2.02

As for the magnetization: 2.96 Bohr magnetons per cell. The crystal system is trigonal. For the formation energy without anion corrections, the calculation gives -0.96 eV/atom.



Record 2
This record from Alexandria describes crystalline LiTiSeO5 at its relaxed geometry. The functional is PBE-GGA.

a = 6.6496 Å, b = 8.9186 Å, c = 7.3367 Å
α = 90.00°, β = 115.97°, γ = 90.00°
With the nearest neighbours (Å) after each atom.
Space group C2/c (No. 15)
Inequivalent atoms, fractional coordinates:
Li: 0.0000 0.0210 0.2500 (multiplicity 4)  3 O 2.03-2.16
Ti: 0.2500 0.2500 0.0000 (multiplicity 4)  6 O 1.90-2.06
Se: 0.0000 0.4604 0.2500 (multiplicity 4)  4 O 1.72-1.89
O: 0.0000 0.2065 0.7500 (multiplicity 4)  2 Ti 1.90, 1 Li 2.03
O: 0.0208 0.3357 0.0803 (multiplicity 8)  1 Se 1.72
O: 0.2110 0.0404 0.0966 (multiplicity 8)  1 Se 1.89, 1 Ti 2.06

As for the magnetization: 0.00 Bohr magnetons per cell. The crystal system is monoclinic. For the formation energy without anion corrections, the calculation gives -1.67 eV/atom.



Record 3
This record from Alexandria describes crystalline LiTlSeO4 at its relaxed geometry. The functional is PBE-GGA.

a = 6.7404 Å, b = 8.3643 Å, c = 8.5926 Å
α = 90.00°, β = 90.00°, γ = 90.00°
With the nearest neighbours (Å) after each atom.
Space group Imma (No. 74)
Inequivalent atoms, fractional coordinates:
Li: 0.2500 0.2500 0.2500 (multiplicity 4)  2 O 1.83
Tl: 0.0000 0.0000 0.0000 (multiplicity 4)  6 O 2.81-2.91
Se: 0.0000 0.2500 0.5781 (multiplicity 4)  4 O 1.66-1.71
O: 0.0000 0.0843 0.6839 (multiplicity 8)  1 Se 1.66
O: 0.2036 0.2500 0.4599 (multiplicity 8)  1 Se 1.71, 1 Li 1.83

As for the magnetization: 0.00 Bohr magnetons per cell. The crystal system is orthorhombic. For the formation energy without anion corrections, the calculation gives -0.99 eV/atom.



Record 4
This record from Alexandria describes crystalline Li2TlSeO4 at its relaxed geometry. The functional is PBE-GGA.

a = 9.7288 Å, b = 8.2337 Å, c = 6.7765 Å
α = 90.00°, β = 130.83°, γ = 90.00°
With the nearest neighbours (Å) after each atom.
Space group C2/c (No. 15)
Inequivalent atoms, fractional coordinates:
Li: 0.0000 0.0000 0.0000 (multiplicity 4)  2 O 1.98
Li: 0.2500 0.2500 0.0000 (multiplicity 4)  2 O 2.05
Tl: 0.0000 0.5000 0.0000 (multiplicity 4)  6 O 2.26-2.35
Se: 0.2500 0.2500 0.5000 (multiplicity 4)  4 O 2.02-2.10
O: 0.0679 0.2324 0.5511 (multiplicity 8)  1 Li 1.98, 1 Se 2.02
O: 0.2188 0.4968 0.9583 (multiplicity 8)  1 Li 2.05, 1 Se 2.10

As for the magnetization: 0.00 Bohr magnetons per cell. The crystal system is monoclinic. For the formation energy without anion corrections, the calculation gives -0.95 eV/atom.



Record 5
This record from Alexandria describes crystalline LiTl3Se2O8 at its relaxed geometry. The functional is PBE-GGA.

a = 5.9864 Å, b = 5.9864 Å, c = 7.8341 Å
α = 90.00°, β = 90.00°, γ = 120.00°
With the nearest neighbours (Å) after each atom.
Space group P-3m1 (No. 164)
Inequivalent atoms, fractional coordinates:
Li: 0.0000 0.0000 0.0000 (multiplicity 1)  6 O 2.34
Tl: 0.0000 0.0000 0.5000 (multiplicity 1)  12 O 3.13-3.47
Tl: 0.3333 0.6667 0.1864 (multiplicity 2)  7 O 2.72-3.00
Se: 0.3333 0.6667 0.7460 (multiplicity 2)  4 O 1.66-1.69
O: 0.1804 0.3608 0.8203 (multiplicity 6)  1 Se 1.69
O: 0.3333 0.6667 0.5339 (multiplicity 2)  1 Se 1.66

As for the magnetization: 0.00 Bohr magnetons per cell. The crystal system is trigonal. For the formation energy without anion corrections, the calculation gives -0.94 eV/atom.



Record 6
This record from Alexandria describes crystalline LiTl3Se2O6 at its relaxed geometry. The functional is PBE-GGA.

a = 6.0379 Å, b = 6.0379 Å, c = 7.2192 Å
α = 90.00°, β = 90.00°, γ = 120.00°
With the nearest neighbours (Å) after each atom.
Space group P-3m1 (No. 164)
Inequivalent atoms, fractional coordinates:
Li: 0.0000 0.0000 0.0000 (multiplicity 1)  6 O 2.37
Tl: 0.0000 0.0000 0.5000 (multiplicity 1)  6 O 2.94
Tl: 0.3333 0.6667 0.1628 (multiplicity 2)  9 O 3.00-3.03, 1 Se 3.29
Se: 0.3333 0.6667 0.7064 (multiplicity 2)  3 O 1.73
O: 0.1835 0.3670 0.8078 (multiplicity 6)  1 Se 1.73

As for the magnetization: 0.00 Bohr magnetons per cell. The crystal system is trigonal. For the formation energy without anion corrections, the calculation gives -0.97 eV/atom.



Record 7
This record from Alexandria describes crystalline Li3TlSe4O12 at its relaxed geometry. The functional is PBE-GGA.

a = 11.3047 Å, b = 11.3047 Å, c = 8.4808 Å
α = 90.00°, β = 90.00°, γ = 120.00°
With the nearest neighbours (Å) after each atom.
Space group R32 (No. 155, hexagonal axes)
Inequivalent atoms, fractional coordinates:
Li: 0.0000 0.5551 0.0000 (multiplicity 9)  6 O 2.18-2.28
Tl: 0.0000 0.0000 0.0000 (multiplicity 3)  6 O 2.85
Se: 0.0000 0.0000 0.5000 (multiplicity 3)  3 O 1.72
Se: 0.0000 0.4523 0.5000 (multiplicity 9)  3 O 1.72-1.74
O: 0.0000 0.6058 0.5000 (multiplicity 9)  1 Se 1.74
O: 0.0000 0.8479 0.5000 (multiplicity 9)  1 Se 1.72
O: 0.0336 0.2183 0.1988 (multiplicity 18)  1 Se 1.72

As for the magnetization: 6.02 Bohr magnetons per cell. The crystal system is trigonal. For the formation energy without anion corrections, the calculation gives -0.69 eV/atom.



Record 8
This record from Alexandria describes crystalline LiTmSeO at its relaxed geometry. The functional is PBE-GGA.

a = 3.8674 Å, b = 3.8674 Å, c = 8.8991 Å
α = 90.00°, β = 90.00°, γ = 90.00°
With the nearest neighbours (Å) after each atom.
Space group P4/nmm (No. 129, origin choice 2)
Inequivalent atoms, fractional coordinates:
Li: 0.2500 0.7500 0.0000 (multiplicity 2)  4 Se 2.53, 4 Li 2.73
Tm: 0.2500 0.2500 0.3790 (multiplicity 2)  4 O 2.21
Se: 0.2500 0.2500 0.8167 (multiplicity 2)  4 Li 2.53
O: 0.2500 0.7500 0.5000 (multiplicity 2)  4 Tm 2.21

As for the magnetization: 0.00 Bohr magnetons per cell. The crystal system is tetragonal. For the formation energy without anion corrections, the calculation gives -2.41 eV/atom.



Repeat the seventh record exactly.
This record from Alexandria describes crystalline Li3TlSe4O12 at its relaxed geometry. The functional is PBE-GGA.

a = 11.3047 Å, b = 11.3047 Å, c = 8.4808 Å
α = 90.00°, β = 90.00°, γ = 120.00°
With the nearest neighbours (Å) after each atom.
Space group R32 (No. 155, hexagonal axes)
Inequivalent atoms, fractional coordinates:
Li: 0.0000 0.5551 0.0000 (multiplicity 9)  6 O 2.18-2.28
Tl: 0.0000 0.0000 0.0000 (multiplicity 3)  6 O 2.85
Se: 0.0000 0.0000 0.5000 (multiplicity 3)  3 O 1.72
Se: 0.0000 0.4523 0.5000 (multiplicity 9)  3 O 1.72-1.74
O: 0.0000 0.6058 0.5000 (multiplicity 9)  1 Se 1.74
O: 0.0000 0.8479 0.5000 (multiplicity 9)  1 Se 1.72
O: 0.0336 0.2183 0.1988 (multiplicity 18)  1 Se 1.72

As for the magnetization: 6.02 Bohr magnetons per cell. The crystal system is trigonal. For the formation energy without anion corrections, the calculation gives -0.69 eV/atom.



Among the records above, which one has the highest magnetization?
Li3TlSe4O12



Which of these has the highest formation energy without anion corrections?
Li3TlSe4O12